Y2InAg, relaxed, DFT PBE; M_tot = 0.00 Bohr magnetons per cell; formation enthalpy at 0 K = -378 meV per atom; E = -5.007 eV per atom
1.0
-2.619 3.301 -2.309
-2.778 -0.477 2.469
0.873 3.943 4.647
Y In Ag
2 1 1
Direct
0.500 0.278 0.321
0.000 0.971 0.931
0.500 0.548 0.777
0.000 0.703 0.471